Record 1
The following is a PBE calculation of crystalline KNaCu3S3O13 at its relaxed geometry, from Alexandria.

Values from the calculation:
formation energy from raw total energies = -1.303 eV per atom
crystal system = monoclinic

```
84
Lattice="9.549 0.000 0.000 -4.775 9.366 -0.024 0.000 -6.042 13.352" Properties=species:S:1:pos:R:3 pbc="T T T"
Cu 4.591 -3.667 8.775
O -0.578 0.737 2.484
O 1.407 5.953 5.747
O 3.573 0.949 4.943
O 4.222 -3.679 12.208
Cu 4.958 -0.646 2.099
O 8.114 -1.998 6.395
O 1.436 -5.020 13.071
O 3.115 0.570 1.345
O -0.552 3.981 7.797
S -0.288 2.630 8.419
Na 2.564 2.998 0.603
Na 2.211 0.325 12.726
O 1.687 -1.740 6.130
Cu 2.347 -0.224 3.940
O 4.018 -2.297 10.169
S 2.372 3.356 13.141
Cu -2.428 6.568 2.713
O 0.578 -2.284 9.161
O 5.734 1.705 5.719
O 3.368 -2.629 7.581
O 5.327 -0.658 5.532
S 2.402 -0.032 0.187
O 1.030 -0.620 10.860
O 5.698 3.280 8.506
O -0.959 1.618 7.609
S 7.147 -3.053 6.864
O 7.862 -4.761 12.806
O -1.098 -1.757 10.870
Cu -0.183 3.970 11.230
O 3.685 -1.511 3.338
S 5.062 0.694 4.909
K 7.138 2.815 1.720
O 0.923 -2.977 11.499
O -1.660 5.775 5.307
Cu 2.428 3.547 9.389
O 6.181 0.392 0.905
O 8.537 -4.532 10.014
O 0.757 5.621 3.160
O 3.339 8.343 0.258
O -0.923 0.044 4.823
O 5.873 5.081 2.459
O 5.353 2.586 10.844
S 0.384 -1.908 10.606
O 3.087 5.063 7.199
O -1.407 2.931 12.424
O 5.977 -2.072 11.619
K 2.412 -0.207 8.396
O -1.202 5.395 1.710
O 5.805 0.923 9.145
O 5.864 -4.532 10.014
O 4.197 5.608 4.168
O -3.087 8.084 0.522
O 5.532 0.724 3.493
S 4.391 5.232 2.723
O 3.851 6.301 1.830
Cu 4.523 8.217 1.850
O 1.012 -1.511 3.338
O 0.959 4.640 0.933
O 3.676 2.060 9.135
K -2.363 0.509 11.609
O -0.757 2.600 9.836
S 5.158 2.211 9.399
O -3.339 5.322 6.934
O 1.660 2.754 11.983
Na -2.211 3.347 6.050
O 1.098 1.264 4.193
S -2.372 6.377 6.465
Cu 0.183 6.991 4.553
O 3.744 3.944 2.468
O 1.202 2.374 8.386
Cu 0.252 -4.893 11.479
O 0.552 7.002 1.121
K 2.363 3.530 4.933
Cu -4.523 5.196 8.526
Cu 9.297 -1.872 4.802
O 3.815 -1.316 12.396
O -1.030 2.401 4.184
O 6.435 -2.451 8.022
S 0.288 5.651 1.743
Na 6.985 -0.023 7.279
Cu 7.203 -3.245 10.616
S -0.384 1.113 3.930
S 4.487 -2.327 11.586
```

=====

Record 2
The following is a PBE calculation of crystalline Tb2PrDy3 at its relaxed geometry, from Alexandria.

Values from the calculation:
energy above the lowest structure with this stoichiometry = 0 meV/atom
crystal system = monoclinic

```
12
Lattice="-1.310 6.992 1.172 -5.772 -0.700 -2.273 -0.315 -5.133 8.099" Properties=species:S:1:pos:R:3 pbc="T T T"
Pr -1.933 2.442 -0.130
Tb -3.207 -2.300 4.544
Dy -2.592 5.955 0.459
Pr -5.149 3.849 -0.972
Tb -4.189 3.458 2.453
Dy -3.544 -0.052 1.850
Dy -7.064 2.595 4.301
Tb -0.973 2.045 3.294
Dy -0.333 -1.437 2.696
Dy -3.852 1.210 5.147
Tb -6.424 -0.887 3.703
Dy -4.490 0.336 -1.561
```

=====

Record 3
The following is a PBE calculation of crystalline TbPuSiHg at its relaxed geometry, from Alexandria.

Values from the calculation:
formation energy from raw total energies = -0.304 eV per atom
crystal system = cubic

```
4
Lattice="-3.547 -2.872 -2.380 0.834 -1.666 -4.798 0.894 -4.994 -0.872" Properties=species:S:1:pos:R:3 pbc="T T T"
Pu -0.910 -4.766 -4.025
Tb 0.000 0.000 0.000
Hg -0.455 -2.383 -2.013
Si -1.365 -7.149 -6.038
```

=====

Record 4
The following is a PBE calculation of crystalline TePd3S at its relaxed geometry, from Alexandria.

Values from the calculation:
energy above the lowest structure with this stoichiometry = 0 meV/atom
formation energy from raw total energies = -0.229 eV per atom
crystal system = monoclinic

```
10
Lattice="-2.620 -2.243 -1.144 3.132 -0.457 -6.274 3.202 -5.559 3.565" Properties=species:S:1:pos:R:3 pbc="T T T"
Pd 2.852 -3.390 -2.770
S 1.266 -2.224 -1.424
Pd 0.588 -2.569 0.804
Pd 3.126 -5.690 -4.657
Te 2.645 -5.144 1.141
S 2.448 -6.035 -2.429
Pd -1.229 -2.225 -1.478
Te 1.069 -3.115 -4.994
Pd 4.943 -6.034 -2.375
Pd 0.862 -4.869 -1.083
```

=====

Looking at M_tot for the records above, in order, we have 7.7; 0.0; 6.5; 0.0 μB/cell.
Looking at VASP energy for the records above, in order, we have -0.416; -0.341; -0.476; -0.353 Ry per atom.